# 1
NbNiTe4: optimized geometry, PBE.

Values from the calculation:
For the calculated total energy, the calculation gives -4.806 eV/atom. As for the calculated volume: 375 Å³/cell. The magnetic moment is 0.0 μB/f.u.

Lattice parameters (Å, degrees): 5.389 8.745 8.635 103.65 90.00 107.95
Sites, in units of the cell vectors:
Ni1 0.902 0.804 0.320
Te1 0.125 0.250 0.983
Te2 0.250 0.500 0.644
Te3 0.065 0.130 0.379
Te4 0.935 0.870 0.621
Nb1 0.205 0.411 0.276
Te5 0.875 0.750 0.017
Te6 0.376 0.752 0.298
Nb2 0.795 0.589 0.724
Ni2 0.098 0.196 0.680
Te7 0.624 0.248 0.702
Te8 0.750 0.500 0.356

***

# 2
Nb2NiTe5: optimized geometry, PBE.

Values from the calculation:
For the calculated total energy, the calculation gives -5.346 eV/atom. As for the calculated volume: 452 Å³/cell. The magnetic moment is 0.0 μB/f.u.

Lattice parameters (Å, degrees): 5.399 6.877 13.240 90.00 90.00 113.12
Sites, in units of the cell vectors:
Te1 0.957 0.914 0.611
Te2 0.957 0.914 0.889
Nb1 0.179 0.359 0.548
Te3 0.043 0.086 0.111
Ni1 0.815 0.630 0.750
Te4 0.275 0.551 0.750
Te5 0.328 0.656 0.396
Te6 0.328 0.656 0.104
Ni2 0.185 0.370 0.250
Te7 0.725 0.449 0.250
Nb2 0.821 0.641 0.048
Te8 0.043 0.086 0.389
Te9 0.672 0.344 0.604
Nb3 0.821 0.641 0.452
Te10 0.672 0.344 0.896
Nb4 0.179 0.359 0.952

***

# 3
NbNiTe2: optimized geometry, PBE.

Values from the calculation:
For the calculated total energy, the calculation gives -5.489 eV/atom. As for the calculated volume: 96 Å³/cell. The magnetic moment is 0.4 μB/f.u.

Lattice parameters (Å, degrees): 8.859 8.859 8.859 23.34 23.34 23.34
Site moments in Bohr magnetons follow the coordinates.
Sites, in units of the cell vectors:
Ni1 0.000 0.000 0.000  0.37
Nb1 0.500 0.500 0.500  0.00
Te1 0.094 0.094 0.094  0.00
Te2 0.906 0.906 0.906  0.00

***

# 4
NbNiTe3: optimized geometry, PBE.

Values from the calculation:
For the calculated total energy, the calculation gives -4.300 eV/atom. As for the calculated volume: 153 Å³/cell. The magnetic moment is 0.0 μB/f.u.

Lattice parameters (Å, degrees): 5.354 5.354 5.354 90.00 90.00 90.00
Sites, in units of the cell vectors:
Nb1 0.000 0.000 0.000
Te1 0.500 0.000 0.000
Te2 0.000 0.500 0.000
Te3 0.000 0.000 0.500
Ni1 0.500 0.500 0.500

***

# 5
NbTlNiTe3: optimized geometry, PBE.

Values from the calculation:
For the calculated total energy, the calculation gives -4.967 eV/atom. As for the calculated volume: 334 Å³/cell. The magnetic moment is 0.0 μB/f.u.

Lattice parameters (Å, degrees): 3.746 9.092 11.114 118.07 90.00 90.00
Sites, in units of the cell vectors:
Te1 0.750 0.444 0.108
Te2 0.750 0.938 0.178
Nb1 0.250 0.720 0.190
Tl1 0.750 0.674 0.702
Ni1 0.250 0.084 0.602
Te3 0.250 0.062 0.822
Te4 0.250 0.764 0.451
Ni2 0.750 0.916 0.398
Nb2 0.750 0.280 0.810
Te5 0.250 0.556 0.892
Tl2 0.250 0.326 0.298
Te6 0.750 0.236 0.549

***

# 6
NbZn2NiTe: optimized geometry, PBE.

Values from the calculation:
For the calculated total energy, the calculation gives -3.223 eV/atom. As for the calculated volume: 132 Å³/cell. The magnetic moment is 0.2 μB/f.u.

Lattice parameters (Å, degrees): 5.034 5.205 5.034 90.00 90.00 90.00
Site moments in Bohr magnetons follow the coordinates.
Sites, in units of the cell vectors:
Ni1 0.500 0.500 0.500  -0.01
Zn1 0.000 0.000 0.500  0.01
Nb1 0.000 0.000 0.000  0.17
Zn2 0.500 0.000 0.000  0.01
Te1 0.000 0.500 0.000  -0.01

***

# 7
Th2Nb2Ni15: optimized geometry, PBE.

Values from the calculation:
For the calculated total energy, the calculation gives -6.703 eV/atom. As for the calculated volume: 258 Å³/cell. For the energy relative to the elements, the calculation gives -0.298 eV per atom. The magnetic moment is 0.0 μB/f.u.

Lattice parameters (Å, degrees): 6.421 6.421 6.421 82.04 82.04 82.04
Sites, in units of the cell vectors:
Ni1 0.302 0.698 0.000
Th1 0.348 0.348 0.348
Ni2 0.158 0.656 0.656
Ni3 0.656 0.158 0.656
Ni4 0.344 0.842 0.344
Ni5 0.500 0.000 0.000
Nb1 0.100 0.100 0.100
Ni6 0.000 0.302 0.698
Ni7 0.000 0.000 0.500
Ni8 0.000 0.500 0.000
Nb2 0.900 0.900 0.900
Ni9 0.842 0.344 0.344
Ni10 0.302 0.000 0.698
Ni11 0.000 0.698 0.302
Th2 0.652 0.652 0.652
Ni12 0.698 0.302 0.000
Ni13 0.656 0.656 0.158
Ni14 0.698 0.000 0.302
Ni15 0.344 0.344 0.842

***

# 8
ThNbNi4: optimized geometry, PBE.

Values from the calculation:
For the calculated total energy, the calculation gives -6.940 eV/atom. As for the calculated volume: 89 Å³/cell. For the energy relative to the elements, the calculation gives -0.171 eV per atom. The magnetic moment is 2.2 μB/f.u.

Lattice parameters (Å, degrees): 5.017 5.017 5.017 60.00 60.00 60.00
Site moments in Bohr magnetons follow the coordinates.
Sites, in units of the cell vectors:
Ni1 0.624 0.624 0.624  0.22
Ni2 0.129 0.624 0.624  0.22
Ni3 0.624 0.129 0.624  0.22
Th1 0.000 0.000 0.000  0.18
Ni4 0.624 0.624 0.129  0.22
Nb1 0.250 0.250 0.250  0.95

***

# 9
ThNbNi10: optimized geometry, PBE.

Values from the calculation:
For the calculated total energy, the calculation gives -6.488 eV/atom. As for the calculated volume: 159 Å³/cell. For the energy relative to the elements, the calculation gives -0.213 eV per atom. The magnetic moment is 1.5 μB/f.u.

Lattice parameters (Å, degrees): 3.989 4.780 8.338 90.00 90.00 90.00
Site moments in Bohr magnetons follow the coordinates.
Sites, in units of the cell vectors:
Ni1 0.500 0.744 0.738  0.19
Ni2 0.500 0.744 0.262  0.19
Nb1 0.000 0.500 0.500  -0.04
Ni3 0.000 0.500 0.817  0.11
Ni4 0.500 0.256 0.738  0.19
Ni5 0.000 0.000 0.656  0.14
Ni6 0.000 0.500 0.183  0.11
Th1 0.000 0.000 0.000  -0.04
Ni7 0.500 0.000 0.500  0.29
Ni8 0.500 0.500 0.000  0.13
Ni9 0.000 0.000 0.344  0.14
Ni10 0.500 0.256 0.262  0.19

***

# 10
ThNbNi: optimized geometry, PBE.

Values from the calculation:
For the calculated total energy, the calculation gives -7.704 eV/atom. As for the calculated volume: 123 Å³/cell. For the energy relative to the elements, the calculation gives 0.053 eV per atom. The magnetic moment is 0.0 μB/f.u.

Lattice parameters (Å, degrees): 4.851 3.422 10.497 90.00 90.00 135.13
Sites, in units of the cell vectors:
Nb1 0.193 0.387 0.882
Ni1 0.198 0.395 0.500
Ni2 0.692 0.385 0.000
Nb2 0.193 0.387 0.118
Th1 0.695 0.390 0.671
Th2 0.695 0.390 0.329

***

# 11
Ti6NbNi5: optimized geometry, PBE.

Values from the calculation:
For the calculated total energy, the calculation gives -7.481 eV/atom. As for the calculated volume: 171 Å³/cell. For the energy relative to the elements, the calculation gives -0.286 eV per atom. The magnetic moment is 0.0 μB/f.u.

Lattice parameters (Å, degrees): 4.308 6.176 6.776 90.00 108.94 90.00
Sites, in units of the cell vectors:
Ni1 0.675 0.000 0.343
Ti1 0.830 0.746 0.661
Nb1 0.000 0.000 0.000
Ti2 0.500 0.743 0.000
Ni2 0.000 0.500 0.000
Ti3 0.830 0.254 0.661
Ni3 0.330 0.500 0.668
Ti4 0.170 0.254 0.339
Ni4 0.325 0.000 0.657
Ti5 0.500 0.257 0.000
Ti6 0.170 0.746 0.339
Ni5 0.670 0.500 0.332

***

# 12
TiNb2Ni: optimized geometry, PBE.

Values from the calculation:
For the calculated total energy, the calculation gives -8.017 eV/atom. As for the calculated volume: 69 Å³/cell. For the energy relative to the elements, the calculation gives 0.437 eV per atom. The magnetic moment is 0.0 μB/f.u.

Lattice parameters (Å, degrees): 2.819 2.819 10.116 81.99 81.99 60.00
Sites, in units of the cell vectors:
Ni1 0.000 0.000 0.000
Nb1 0.917 0.917 0.248
Ti1 0.500 0.500 0.500
Nb2 0.083 0.083 0.752

***

# 13
TiNb2Ni: optimized geometry, PBE.

Values from the calculation:
For the calculated total energy, the calculation gives -8.482 eV/atom. As for the calculated volume: 64 Å³/cell. For the energy relative to the elements, the calculation gives -0.028 eV per atom. The magnetic moment is 0.0 μB/f.u.

Lattice parameters (Å, degrees): 3.213 3.213 6.196 90.00 90.00 90.00
Sites, in units of the cell vectors:
Nb1 0.000 0.000 0.241
Nb2 0.000 0.000 0.759
Ti1 0.500 0.500 0.500
Ni1 0.500 0.500 0.000

***

# 14
Ti2NbNi8: optimized geometry, PBE.

Values from the calculation:
For the calculated total energy, the calculation gives -6.797 eV/atom. As for the calculated volume: 139 Å³/cell. For the energy relative to the elements, the calculation gives -0.241 eV per atom. The magnetic moment is 0.0 μB/f.u.

Lattice parameters (Å, degrees): 4.415 6.657 7.121 62.13 71.95 48.46
Sites, in units of the cell vectors:
Ni1 0.233 0.898 0.738
Ni2 0.767 0.102 0.262
Ni3 0.233 0.636 0.262
Ni4 0.250 0.500 0.000
Ni5 0.500 0.801 0.399
Ni6 0.500 0.199 0.601
Ti1 0.000 0.317 0.366
Ti2 0.000 0.683 0.634
Ni7 0.767 0.364 0.738
Ni8 0.750 0.500 0.000
Nb1 0.500 0.000 0.000

***

# 15
Ti3NbNi12: optimized geometry, PBE.

Values from the calculation:
For the calculated total energy, the calculation gives -6.825 eV/atom. As for the calculated volume: 191 Å³/cell. For the energy relative to the elements, the calculation gives -0.379 eV per atom. The magnetic moment is 0.0 μB/f.u.

Lattice parameters (Å, degrees): 3.631 3.631 14.519 90.00 90.00 90.00
Sites, in units of the cell vectors:
Ni1 0.500 0.000 0.624
Ti1 0.000 0.000 0.500
Ni2 0.500 0.500 0.252
Ni3 0.000 0.500 0.871
Ni4 0.500 0.000 0.871
Ti2 0.000 0.000 0.254
Ni5 0.500 0.000 0.376
Ni6 0.000 0.500 0.624
Ti3 0.000 0.000 0.746
Nb1 0.000 0.000 0.000
Ni7 0.500 0.500 0.748
Ni8 0.500 0.000 0.129
Ni9 0.000 0.500 0.376
Ni10 0.500 0.500 0.500
Ni11 0.500 0.500 0.000
Ni12 0.000 0.500 0.129

***

# 16
TiNbNi6: optimized geometry, PBE.

Values from the calculation:
For the calculated total energy, the calculation gives -6.878 eV/atom. As for the calculated volume: 97 Å³/cell. For the energy relative to the elements, the calculation gives -0.296 eV per atom. The magnetic moment is 0.0 μB/f.u.

Lattice parameters (Å, degrees): 3.654 3.654 7.299 90.00 90.00 90.00
Sites, in units of the cell vectors:
Ti1 0.000 0.000 0.000
Ni1 0.000 0.500 0.754
Ni2 0.500 0.500 0.000
Ni3 0.500 0.000 0.754
Ni4 0.500 0.500 0.500
Nb1 0.000 0.000 0.500
Ni5 0.500 0.000 0.246
Ni6 0.000 0.500 0.246

***

# 17
Ti2NbNi: optimized geometry, PBE.

Values from the calculation:
For the calculated total energy, the calculation gives -7.753 eV/atom. As for the calculated volume: 131 Å³/cell. For the energy relative to the elements, the calculation gives 0.158 eV per atom. The magnetic moment is 0.0 μB/f.u.

Lattice parameters (Å, degrees): 6.959 6.959 5.616 51.71 51.71 90.00
Sites, in units of the cell vectors:
Nb1 0.750 0.250 0.500
Nb2 0.000 0.000 0.000
Ti1 0.161 0.625 0.250
Ti2 0.589 0.125 0.250
Ni1 0.500 0.500 0.000
Ti3 0.375 0.411 0.750
Ni2 0.250 0.750 0.500
Ti4 0.875 0.839 0.750

***

# 18
Ti2NbNi: optimized geometry, PBE.

Values from the calculation:
For the calculated total energy, the calculation gives -8.029 eV/atom. As for the calculated volume: 61 Å³/cell. For the energy relative to the elements, the calculation gives -0.119 eV per atom. The magnetic moment is 0.0 μB/f.u.

Lattice parameters (Å, degrees): 4.424 4.424 4.424 60.00 60.00 60.00
Sites, in units of the cell vectors:
Ni1 0.000 0.000 0.000
Ti1 0.750 0.750 0.750
Nb1 0.500 0.500 0.500
Ti2 0.250 0.250 0.250

***

# 19
Ti4NbNi: optimized geometry, PBE.

Values from the calculation:
For the calculated total energy, the calculation gives -8.001 eV/atom. As for the calculated volume: 195 Å³/cell. For the energy relative to the elements, the calculation gives -0.095 eV per atom. The magnetic moment is 0.0 μB/f.u.

Lattice parameters (Å, degrees): 4.162 4.162 11.633 100.33 100.33 89.99
Sites, in units of the cell vectors:
Ti1 0.845 0.345 0.190
Ti2 0.571 0.571 0.641
Nb1 0.750 0.750 0.000
Ti3 0.929 0.929 0.359
Nb2 0.250 0.250 0.000
Ti4 0.071 0.071 0.641
Ti5 0.155 0.655 0.810
Ti6 0.655 0.155 0.810
Ti7 0.429 0.429 0.359
Ti8 0.345 0.845 0.190
Ni1 0.500 0.000 0.500
Ni2 0.000 0.500 0.500

***

# 20
Ti3NbNi2: optimized geometry, PBE.

Values from the calculation:
For the calculated total energy, the calculation gives -7.779 eV/atom. As for the calculated volume: 90 Å³/cell. For the energy relative to the elements, the calculation gives -0.226 eV per atom. The magnetic moment is 0.0 μB/f.u.

Lattice parameters (Å, degrees): 3.116 3.116 9.230 90.00 90.00 90.00
Sites, in units of the cell vectors:
Ti1 0.000 0.000 0.000
Ni1 0.500 0.500 0.150
Ti2 0.000 0.000 0.316
Ni2 0.500 0.500 0.850
Nb1 0.500 0.500 0.500
Ti3 0.000 0.000 0.684